(1)
Entry from the Alexandria database: an optimized crystal structure of Zr2BeTl (PBE).

Output
Formation energy ... 0.15 eV per atom
DFT total energy ... -5.642 eV/atom
Energy above the most stable polymorph in this dataset ... 205 meV per atom
Crystal system ... orthorhombic
DOS at the Fermi energy ... 2.666 states/eV per cell

Cell lengths 3.155, 3.155, 8.052 Å; angles 90.00, 90.00, 90.21 degrees
Atoms (fractional coordinates):
Zr: 0.000 0.000 0.000
Zr: 0.500 0.500 0.291
Be: 0.000 0.000 0.500
Tl: 0.500 0.500 0.706

(2)
Entry from the Alexandria database: an optimized crystal structure of Zr2BeTl (PBE).

Output
Formation energy ... 0.02 eV per atom
DFT total energy ... -5.782 eV/atom
Energy above the most stable polymorph in this dataset ... 65 meV per atom
Crystal system ... orthorhombic
DOS at the Fermi energy ... 3.159 states/eV per cell

Cell lengths 4.087, 5.972, 5.972 Å; angles 33.54, 90.00, 90.00 degrees
Atoms (fractional coordinates):
Zr: 0.000 0.000 0.000
Zr: 0.500 0.344 0.344
Be: 0.500 0.584 0.584
Tl: 0.000 0.723 0.723

(3)
Entry from the Alexandria database: an optimized crystal structure of Zr2Be2Tl (PBE).

Output
Formation energy ... -0.17 eV per atom
DFT total energy ... -5.557 eV/atom
Energy above the most stable polymorph in this dataset ... 50 meV per atom
Crystal system ... tetragonal
DOS at the Fermi energy ... 4.434 states/eV per cell

Cell lengths 6.525, 6.525, 3.984 Å; angles 90.00, 90.00, 90.00 degrees
Atoms (fractional coordinates):
Zr: 0.166 0.334 0.000
Zr: 0.334 0.834 0.000
Zr: 0.666 0.166 0.000
Zr: 0.834 0.666 0.000
Be: 0.118 0.618 0.500
Be: 0.382 0.118 0.500
Be: 0.618 0.882 0.500
Be: 0.882 0.382 0.500
Tl: 0.000 0.000 0.500
Tl: 0.500 0.500 0.500

(4)
Entry from the Alexandria database: an optimized crystal structure of Zr2BeTl (PBE).

Output
Formation energy ... -0.05 eV per atom
DFT total energy ... -5.847 eV/atom
Energy above the most stable polymorph in this dataset ... 0 meV per atom
Crystal system ... tetragonal
DOS at the Fermi energy ... 3.949 states/eV per cell

Cell lengths 3.070, 3.070, 8.264 Å; angles 90.00, 90.00, 90.00 degrees
Atoms (fractional coordinates):
Zr: 0.000 0.000 0.204
Zr: 0.000 0.000 0.796
Be: 0.500 0.500 0.000
Tl: 0.500 0.500 0.500

(5)
Entry from the Alexandria database: an optimized crystal structure of Zr2BeTl (PBE).

Output
Formation energy ... 0.07 eV per atom
DFT total energy ... -5.727 eV/atom
Energy above the most stable polymorph in this dataset ... 120 meV per atom
Crystal system ... monoclinic
DOS at the Fermi energy ... 2.532 states/eV per cell

Cell lengths 5.723, 5.723, 4.988 Å; angles 115.77, 115.77, 32.72 degrees
Atoms (fractional coordinates):
Zr: 0.000 0.000 0.000
Zr: 0.227 0.227 0.728
Be: 0.733 0.733 0.234
Tl: 0.441 0.441 0.441

(6)
Entry from the Alexandria database: an optimized crystal structure of ZrBe2Tl (PBE).

Output
Formation energy ... 0.40 eV per atom
DFT total energy ... -4.190 eV/atom
Energy above the most stable polymorph in this dataset ... 376 meV per atom
Crystal system ... cubic
DOS at the Fermi energy ... 2.981 states/eV per cell

Cell lengths 4.461, 4.461, 4.461 Å; angles 60.00, 60.00, 60.00 degrees
Atoms (fractional coordinates):
Zr: 0.000 0.000 0.000
Be: 0.250 0.250 0.250
Be: 0.750 0.750 0.750
Tl: 0.500 0.500 0.500

What did the sixth record say?
Entry from the Alexandria database: an optimized crystal structure of ZrBe2Tl (PBE).

Output
Formation energy ... 0.40 eV per atom
DFT total energy ... -4.190 eV/atom
Energy above the most stable polymorph in this dataset ... 376 meV per atom
Crystal system ... cubic
DOS at the Fermi energy ... 2.981 states/eV per cell

Cell lengths 4.461, 4.461, 4.461 Å; angles 60.00, 60.00, 60.00 degrees
Atoms (fractional coordinates):
Zr: 0.000 0.000 0.000
Be: 0.250 0.250 0.250
Be: 0.750 0.750 0.750
Tl: 0.500 0.500 0.500